P | Below is Ca5Cr at its PBEsol-relaxed geometry, with properties calculated at the meta-GGA SCAN level.

Lattice parameters (Å, degrees): 6.7416 6.7416 6.2378 90.00 90.00 120.00
With the nearest neighbours (Å) after each atom.
Space group P6/mmm (No. 191)
Asymmetric unit:
Ca 0.0000 0.5000 0.0000  8 Ca 3.37-3.68
Ca 0.3333 0.6667 0.5000  9 Ca 3.68-3.89, 3 Cr 3.89
Cr 0.0000 0.0000 0.5000  6 Ca 3.89

Computed properties:
As for the density: 1.7 g/cm3.

Q | Below is Ca5Cr at its PBEsol-relaxed geometry, with properties calculated at the meta-GGA SCAN level.

Lattice parameters (Å, degrees): 12.8569 3.8888 9.0285 90.00 111.04 90.00
With the nearest neighbours (Å) after each atom.
Space group C2/m (No. 12)
Asymmetric unit:
Ca 0.0000 0.0000 0.0000  12 Ca 3.68-4.00
Ca 0.1375 0.5000 0.3635  2 Cr 3.16
Ca 0.1677 0.5000 0.7946  2 Cr 3.37, 2 Ca 3.66-3.77
Cr 0.0000 0.0000 0.5000  8 Ca 3.16-3.37

Computed properties:
As for the density: 2.0 g/cm3.

Q comes first in stability; the runner-up is 46.0 kJ/mol of atoms higher.